! TmGeMo | Alexandria via LeMat-Bulk | GGA-PBE | optimized geometry; values from VASP
! theoretical density = 8.9 g/cm³
! energy of formation = -312.7 meV/atom
! DOS at the Fermi energy = 10.91 states/eV/cell
! spin magnetization = 0.00 μB/f.u.
! SG = P4_2/m
&SYSTEM
  ibrav = 0, nat = 12, ntyp = 3
/
ATOMIC_SPECIES
Tm 168.93 Tm.upf
Ge 72.64 Ge.upf
Mo 95.94 Mo.upf
CELL_PARAMETERS angstrom
4.5261 0.0000 0.0000
0.0000 7.4697 0.0000
0.0000 0.0000 7.4697
ATOMIC_POSITIONS angstrom
Tm 2.2630 5.7819 4.1105
Tm 0.0000 3.3592 5.7819
Tm 0.0000 4.1105 1.6878
Tm 2.2630 1.6878 3.3592
Ge 2.2630 2.4490 0.5053
Ge 0.0000 6.9643 2.4490
Ge 0.0000 0.5053 5.0206
Ge 2.2630 5.0206 6.9643
Mo 2.2630 7.0116 1.1714
Mo 2.2630 0.4580 6.2982
Mo 0.0000 1.1714 0.4580
Mo 0.0000 6.2982 7.0116